Below is crystalline LiAs2Br at its relaxed geometry, with properties calculated at the GGA-PBEsol level.

- Distance to the lowest polymorph of the same formula: 0 meV per atom
- Fermi-level density of states: 0.26 states/eV/atom
- Formation energy without anion corrections: -0.468 eV per atom

Lattice parameters (Å, degrees): 3.6532 6.0989 3.9637 90.00 92.02 90.00
Closest atoms and distances in Å follow each position.
Space group P2/m (No. 10)
One atom of each set of equivalent atoms:
Li 0.0000 0.0000 0.0000 x1  4 Br 2.65-2.74
As 0.2265 0.5000 0.8007 x2  2 As 2.33-2.50
Br 0.5000 0.0000 0.5000 x1  4 Li 2.65-2.74